A relaxed structure of BaCaPb2. Source: Alexandria, functional GGA-PBE.

The structure in CIF format:
```
data_BaCaPb2
_chemical_formula_sum 'Ba1 Ca1 Pb2'
_cell_length_a 5.872
_cell_length_b 5.872
_cell_length_c 5.872
_cell_angle_alpha 60.00
_cell_angle_beta 60.00
_cell_angle_gamma 60.00
_symmetry_space_group_name_H-M 'P 1'
_symmetry_Int_Tables_number 1
_symmetry_space_group_name_Hall 'P 1'
loop_
_atom_site_label
_atom_site_fract_x
_atom_site_fract_y
_atom_site_fract_z
_atom_site_occupancy
Pb1 0.250 0.250 0.250 1
Pb2 0.000 0.000 0.000 1
Ca1 0.750 0.750 0.750 1
Ba1 0.500 0.500 0.500 1
```

Values from the calculation:
DOS at the Fermi energy: 2.747 states/eV/f.u.
size of the total moment: 0.000 μB per atom
V: 35.783 A^3/atom
E_tot: -3.075 eV/atom

***

A relaxed structure of BeSbBr2. Source: Alexandria, functional GGA-PBE.

The structure in CIF format:
```
data_BeSbBr2
_chemical_formula_sum 'Be1 Sb1 Br2'
_cell_length_a 7.789
_cell_length_b 7.789
_cell_length_c 5.442
_cell_angle_alpha 69.52
_cell_angle_beta 69.52
_cell_angle_gamma 24.79
_symmetry_space_group_name_H-M 'P 1'
_symmetry_Int_Tables_number 1
_symmetry_space_group_name_Hall 'P 1'
loop_
_atom_site_label
_atom_site_fract_x
_atom_site_fract_y
_atom_site_fract_z
_atom_site_occupancy
Sb1 0.366 0.366 0.627 1
Br1 0.111 0.111 0.894 1
Br2 0.308 0.308 0.189 1
Be1 0.715 0.715 0.790 1
```

Values from the calculation:
formation energy without anion corrections: -0.18 eV/atom
DOS at the Fermi energy: 1.600 states/eV/f.u.
size of the total moment: 0.000 μB per atom
V: 32.312 A^3/atom
E_tot: -2.978 eV/atom

***

A relaxed structure of Al2CdAu6. Source: Alexandria, functional GGA-PBE.

The structure in CIF format:
```
data_Al2CdAu6
_chemical_formula_sum 'Al2 Cd1 Au6'
_cell_length_a 4.176
_cell_length_b 4.176
_cell_length_c 10.809
_cell_angle_alpha 101.14
_cell_angle_beta 101.14
_cell_angle_gamma 90.00
_symmetry_space_group_name_H-M 'P 1'
_symmetry_Int_Tables_number 1
_symmetry_space_group_name_Hall 'P 1'
loop_
_atom_site_label
_atom_site_fract_x
_atom_site_fract_y
_atom_site_fract_z
_atom_site_occupancy
Au1 0.250 0.750 0.500 1
Au2 0.750 0.250 0.500 1
Au3 0.403 0.903 0.806 1
Au4 0.903 0.403 0.806 1
Au5 0.597 0.097 0.194 1
Au6 0.097 0.597 0.194 1
Al1 0.673 0.673 0.346 1
Al2 0.327 0.327 0.654 1
Cd1 0.000 0.000 0.000 1
```

Values from the calculation:
DOS at the Fermi energy: 2.929 states/eV/f.u.
size of the total moment: 0.000 μB per atom
V: 20.150 A^3/atom
E_tot: -3.335 eV/atom

***

A relaxed structure of ZrCd2SnIr. Source: Alexandria, functional GGA-PBE.

The structure in CIF format:
```
data_ZrCd2SnIr
_chemical_formula_sum 'Zr1 Cd2 Sn1 Ir1'
_cell_length_a 5.167
_cell_length_b 4.903
_cell_length_c 5.167
_cell_angle_alpha 90.00
_cell_angle_beta 90.00
_cell_angle_gamma 90.00
_symmetry_space_group_name_H-M 'P 1'
_symmetry_Int_Tables_number 1
_symmetry_space_group_name_Hall 'P 1'
loop_
_atom_site_label
_atom_site_fract_x
_atom_site_fract_y
_atom_site_fract_z
_atom_site_occupancy
Sn1 0.000 0.000 0.000 1
Cd1 0.500 0.000 0.000 1
Cd2 0.000 0.000 0.500 1
Zr1 0.500 0.500 0.500 1
Ir1 0.000 0.500 0.000 1
```

Values from the calculation:
DOS at the Fermi energy: 3.700 states/eV/f.u.
size of the total moment: 0.000 μB per atom
V: 26.182 A^3/atom
E_tot: -3.665 eV/atom

***

A relaxed structure of Li3Cd6Au. Source: Alexandria, functional GGA-PBE.

The structure in CIF format:
```
data_Li3Cd6Au
_chemical_formula_sum 'Li6 Cd12 Au2'
_cell_length_a 7.376
_cell_length_b 7.376
_cell_length_c 7.376
_cell_angle_alpha 89.93
_cell_angle_beta 89.93
_cell_angle_gamma 89.93
_symmetry_space_group_name_H-M 'P 1'
_symmetry_Int_Tables_number 1
_symmetry_space_group_name_Hall 'P 1'
loop_
_atom_site_label
_atom_site_fract_x
_atom_site_fract_y
_atom_site_fract_z
_atom_site_occupancy
Li1 0.122 0.254 0.744 1
Li2 0.254 0.744 0.122 1
Li3 0.256 0.878 0.746 1
Li4 0.744 0.122 0.254 1
Li5 0.878 0.746 0.256 1
Li6 0.746 0.256 0.878 1
Cd1 0.149 0.046 0.377 1
Cd2 0.377 0.149 0.046 1
Cd3 0.147 0.626 0.482 1
Cd4 0.853 0.374 0.518 1
Cd5 0.954 0.623 0.851 1
Cd6 0.046 0.377 0.149 1
Cd7 0.623 0.851 0.954 1
Cd8 0.518 0.853 0.374 1
Cd9 0.374 0.518 0.853 1
Cd10 0.851 0.954 0.623 1
Cd11 0.482 0.147 0.626 1
Cd12 0.626 0.482 0.147 1
Au1 0.000 0.000 0.000 1
Au2 0.500 0.500 0.500 1
```

Values from the calculation:
DOS at the Fermi energy: 2.868 states/eV/f.u.
size of the total moment: 0.000 μB per atom
V: 20.068 A^3/atom
E_tot: -1.648 eV/atom

***

A relaxed structure of Ca2NiHg. Source: Alexandria, functional GGA-PBE.

The structure in CIF format:
```
data_Ca2NiHg
_chemical_formula_sum 'Ca2 Ni1 Hg1'
_cell_length_a 3.609
_cell_length_b 3.550
_cell_length_c 8.073
_cell_angle_alpha 90.00
_cell_angle_beta 90.00
_cell_angle_gamma 90.00
_symmetry_space_group_name_H-M 'P 1'
_symmetry_Int_Tables_number 1
_symmetry_space_group_name_Hall 'P 1'
loop_
_atom_site_label
_atom_site_fract_x
_atom_site_fract_y
_atom_site_fract_z
_atom_site_occupancy
Ca1 0.000 0.000 0.924 1
Ca2 0.500 0.500 0.319 1
Hg1 0.000 0.000 0.553 1
Ni1 0.500 0.500 0.704 1
```

Values from the calculation:
DOS at the Fermi energy: 3.064 states/eV/f.u.
size of the total moment: 0.000 μB per atom
V: 25.859 A^3/atom
E_tot: -2.618 eV/atom

***

A relaxed structure of Pu2Hg5Bi. Source: Alexandria, functional GGA-PBE.

The structure in CIF format:
```
data_Pu2Hg5Bi
_chemical_formula_sum 'Pu4 Hg10 Bi2'
_cell_length_a 4.635
_cell_length_b 6.738
_cell_length_c 13.503
_cell_angle_alpha 90.00
_cell_angle_beta 90.00
_cell_angle_gamma 90.00
_symmetry_space_group_name_H-M 'P 1'
_symmetry_Int_Tables_number 1
_symmetry_space_group_name_Hall 'P 1'
loop_
_atom_site_label
_atom_site_fract_x
_atom_site_fract_y
_atom_site_fract_z
_atom_site_occupancy
Bi1 0.000 0.500 0.000 1
Bi2 0.000 0.000 0.500 1
Hg1 0.500 0.284 0.370 1
Hg2 0.000 0.036 0.249 1
Hg3 0.000 0.500 0.500 1
Hg4 0.000 0.000 0.000 1
Hg5 0.500 0.216 0.870 1
Hg6 0.000 0.464 0.749 1
Hg7 0.500 0.784 0.130 1
Hg8 0.500 0.716 0.630 1
Hg9 0.000 0.536 0.251 1
Hg10 0.000 0.964 0.751 1
Pu1 0.500 0.776 0.378 1
Pu2 0.500 0.276 0.122 1
Pu3 0.500 0.224 0.622 1
Pu4 0.500 0.724 0.878 1
```

Values from the calculation:
DOS at the Fermi energy: 28.294 states/eV/f.u.
size of the total moment: 1.528 μB per atom
V: 26.360 A^3/atom
E_tot: -4.419 eV/atom

***

A relaxed structure of LiMgTa2. Source: Alexandria, functional GGA-PBE.

The structure in CIF format:
```
data_LiMgTa2
_chemical_formula_sum 'Li1 Mg1 Ta2'
_cell_length_a 5.096
_cell_length_b 5.096
_cell_length_c 5.519
_cell_angle_alpha 82.82
_cell_angle_beta 82.82
_cell_angle_gamma 31.78
_symmetry_space_group_name_H-M 'P 1'
_symmetry_Int_Tables_number 1
_symmetry_space_group_name_Hall 'P 1'
loop_
_atom_site_label
_atom_site_fract_x
_atom_site_fract_y
_atom_site_fract_z
_atom_site_occupancy
Ta1 0.006 0.006 0.948 1
Ta2 0.744 0.744 0.795 1
Li1 0.498 0.498 0.477 1
Mg1 0.252 0.252 0.280 1
```

Values from the calculation:
DOS at the Fermi energy: 2.734 states/eV/f.u.
size of the total moment: 0.000 μB per atom
V: 18.709 A^3/atom
E_tot: -6.417 eV/atom

***

A relaxed structure of NaLa2N. Source: Alexandria, functional GGA-PBE.

The structure in CIF format:
```
data_NaLa2N
_chemical_formula_sum 'Na1 La2 N1'
_cell_length_a 3.656
_cell_length_b 3.656
_cell_length_c 10.593
_cell_angle_alpha 80.06
_cell_angle_beta 80.06
_cell_angle_gamma 60.00
_symmetry_space_group_name_H-M 'P 1'
_symmetry_Int_Tables_number 1
_symmetry_space_group_name_Hall 'P 1'
loop_
_atom_site_label
_atom_site_fract_x
_atom_site_fract_y
_atom_site_fract_z
_atom_site_occupancy
La1 0.122 0.122 0.635 1
La2 0.878 0.878 0.365 1
N1 0.500 0.500 0.500 1
Na1 0.000 0.000 0.000 1
```

Values from the calculation:
formation energy without anion corrections: -0.61 eV/atom
DOS at the Fermi energy: 2.597 states/eV/f.u.
size of the total moment: 0.000 μB per atom
V: 30.047 A^3/atom
E_tot: -5.485 eV/atom

***

A relaxed structure of TlN2F8. Source: Alexandria, functional GGA-PBE.

The structure in CIF format:
```
data_TlN2F8
_chemical_formula_sum 'Tl1 N2 F8'
_cell_length_a 7.828
_cell_length_b 4.967
_cell_length_c 4.967
_cell_angle_alpha 80.65
_cell_angle_beta 82.66
_cell_angle_gamma 82.66
_symmetry_space_group_name_H-M 'P 1'
_symmetry_Int_Tables_number 1
_symmetry_space_group_name_Hall 'P 1'
loop_
_atom_site_label
_atom_site_fract_x
_atom_site_fract_y
_atom_site_fract_z
_atom_site_occupancy
F1 0.660 0.014 0.672 1
F2 0.324 0.408 0.408 1
F3 0.340 0.328 0.986 1
F4 0.065 0.708 0.708 1
F5 0.660 0.672 0.014 1
F6 0.676 0.592 0.592 1
F7 0.935 0.292 0.292 1
F8 0.340 0.986 0.328 1
N1 0.584 0.766 0.766 1
N2 0.416 0.234 0.234 1
Tl1 0.000 0.000 0.000 1
```

Values from the calculation:
formation energy without anion corrections: -0.67 eV/atom
DOS at the Fermi energy: 1.032 states/eV/f.u.
size of the total moment: 0.091 μB per atom
V: 17.079 A^3/atom
E_tot: -3.761 eV/atom

***

A relaxed structure of CeHf4In5. Source: Alexandria, functional GGA-PBE.

The structure in CIF format:
```
data_CeHf4In5
_chemical_formula_sum 'Ce1 Hf4 In5'
_cell_length_a 3.127
_cell_length_b 3.127
_cell_length_c 22.976
_cell_angle_alpha 90.00
_cell_angle_beta 90.00
_cell_angle_gamma 90.00
_symmetry_space_group_name_H-M 'P 1'
_symmetry_Int_Tables_number 1
_symmetry_space_group_name_Hall 'P 1'
loop_
_atom_site_label
_atom_site_fract_x
_atom_site_fract_y
_atom_site_fract_z
_atom_site_occupancy
In1 0.500 0.500 0.112 1
In2 0.500 0.500 0.500 1
In3 0.500 0.500 0.888 1
In4 0.500 0.500 0.306 1
In5 0.500 0.500 0.694 1
Hf1 0.000 0.000 0.403 1
Hf2 0.000 0.000 0.210 1
Hf3 0.000 0.000 0.790 1
Hf4 0.000 0.000 0.597 1
Ce1 0.000 0.000 0.000 1
```

Values from the calculation:
DOS at the Fermi energy: 9.108 states/eV/f.u.
size of the total moment: 0.046 μB per atom
V: 22.469 A^3/atom
E_tot: -6.136 eV/atom

***

A relaxed structure of LaTbPm5Ho2. Source: Alexandria, functional GGA-PBE.

The structure in CIF format:
```
data_LaTbPm5Ho2
_chemical_formula_sum 'La2 Tb2 Pm10 Ho4'
_cell_length_a 5.710
_cell_length_b 10.515
_cell_length_c 10.669
_cell_angle_alpha 90.00
_cell_angle_beta 90.00
_cell_angle_gamma 105.75
_symmetry_space_group_name_H-M 'P 1'
_symmetry_Int_Tables_number 1
_symmetry_space_group_name_Hall 'P 1'
loop_
_atom_site_label
_atom_site_fract_x
_atom_site_fract_y
_atom_site_fract_z
_atom_site_occupancy
Pm1 0.387 0.773 0.024 1
Pm2 0.613 0.227 0.524 1
Pm3 0.296 0.593 0.707 1
Pm4 0.521 0.041 0.240 1
Pm5 0.719 0.439 0.814 1
Pm6 0.704 0.407 0.207 1
Pm7 0.479 0.959 0.740 1
Pm8 0.017 0.034 0.024 1
Pm9 0.983 0.966 0.524 1
Pm10 0.281 0.561 0.314 1
Ho1 0.113 0.226 0.733 1
Ho2 0.884 0.769 0.820 1
Ho3 0.116 0.231 0.320 1
Ho4 0.887 0.774 0.233 1
Tb1 0.200 0.399 0.011 1
Tb2 0.800 0.601 0.511 1
La1 0.584 0.167 0.951 1
La2 0.416 0.833 0.451 1
```

Values from the calculation:
DOS at the Fermi energy: 14.309 states/eV/f.u.
size of the total moment: 0.000 μB per atom
V: 34.249 A^3/atom
E_tot: -4.567 eV/atom